Record 1
Computed, not measured: ErMg2Cu9 after structural relaxation at the PBE level of DFT.

Output
space-group type	R-3m
mass density	7.56	Mg/m³
VASP energy	-0.26492	Ry per atom

abc: 8.520 8.520 8.520
angles: 34.07 34.07 34.07
Element x y z (fractional)
Er 0.000 0.000 0.000
Mg 0.145 0.145 0.145
Mg 0.855 0.855 0.855
Cu 0.082 0.586 0.586
Cu 0.333 0.333 0.333
Cu 0.414 0.414 0.918
Cu 0.414 0.918 0.414
Cu 0.500 0.500 0.500
Cu 0.586 0.082 0.586
Cu 0.586 0.586 0.082
Cu 0.667 0.667 0.667
Cu 0.918 0.414 0.414

***

Record 2
Computed, not measured: HfZrBe2Ge2 after structural relaxation at the PBE level of DFT.

Output
space-group type	P-3m1
mass density	7.98	Mg/m³
VASP energy	-0.47517	Ry per atom

abc: 3.774 3.774 7.304
angles: 90.00 90.00 120.00
Element x y z (fractional)
Hf 0.000 0.000 0.000
Zr 0.000 0.000 0.500
Be 0.333 0.667 0.752
Be 0.667 0.333 0.248
Ge 0.333 0.667 0.247
Ge 0.667 0.333 0.753

***

Record 3
Computed, not measured: LaGeTeAuSe2 after structural relaxation at the PBE level of DFT.

Output
space-group type	Cmcm
mass density	7.01	Mg/m³
VASP energy	-0.33641	Ry per atom

abc: 7.228 7.228 11.564
angles: 90.00 90.00 147.02
Element x y z (fractional)
La 0.000 0.000 0.000
La 0.000 0.000 0.500
Ge 0.190 0.810 0.750
Ge 0.810 0.190 0.250
Te 0.113 0.887 0.250
Te 0.887 0.113 0.750
Au 0.475 0.525 0.250
Au 0.525 0.475 0.750
Se 0.352 0.648 0.075
Se 0.352 0.648 0.425
Se 0.648 0.352 0.575
Se 0.648 0.352 0.925

***

Record 4
Computed, not measured: SrSmCuSi3 after structural relaxation at the PBE level of DFT.

Output
relative energy among the computed polymorphs	0.00	eV/f.u.
space-group type	Fmmm
mass density	5.12	Mg/m³
VASP energy	-0.36627	Ry per atom

abc: 8.329 8.183 5.938
angles: 70.24 67.62 42.14
Element x y z (fractional)
Sr 0.250 0.250 0.250
Sr 0.750 0.750 0.750
Sm 0.241 0.759 0.241
Sm 0.759 0.241 0.759
Cu 0.333 0.333 0.667
Cu 0.667 0.667 0.333
Si 0.165 0.165 0.835
Si 0.174 0.662 0.826
Si 0.338 0.826 0.662
Si 0.662 0.174 0.338
Si 0.826 0.338 0.174
Si 0.835 0.835 0.165

***

Record 5
Computed, not measured: MgFe2Te4 after structural relaxation at the PBE level of DFT.

Output
space-group type	P4_122
mass density	5.98	Mg/m³
VASP energy	-0.33096	Ry per atom

abc: 8.053 8.053 11.072
angles: 90.00 90.00 90.00
Element x y z (fractional)
Mg 0.000 0.242 0.000
Mg 0.000 0.758 0.500
Mg 0.242 0.000 0.750
Mg 0.758 0.000 0.250
Fe 0.250 0.500 0.750
Fe 0.262 0.262 0.375
Fe 0.262 0.738 0.125
Fe 0.500 0.250 0.000
Fe 0.500 0.750 0.500
Fe 0.738 0.262 0.625
Fe 0.738 0.738 0.875
Fe 0.750 0.500 0.250
Te 0.014 0.272 0.737
Te 0.014 0.728 0.763
Te 0.271 0.484 0.985
Te 0.271 0.516 0.515
Te 0.272 0.014 0.013
Te 0.272 0.986 0.487
Te 0.484 0.271 0.765
Te 0.484 0.729 0.735
Te 0.516 0.271 0.235
Te 0.516 0.729 0.265
Te 0.728 0.014 0.987
Te 0.728 0.986 0.513
Te 0.729 0.484 0.015
Te 0.729 0.516 0.485
Te 0.986 0.272 0.263
Te 0.986 0.728 0.237

***

Record 6
Computed, not measured: Tb2GdGa3Ni3 after structural relaxation at the PBE level of DFT.

Output
space-group type	Amm2
mass density	8.72	Mg/m³
VASP energy	-0.37035	Ry per atom

abc: 3.784 7.071 7.071
angles: 119.99 90.00 90.00
Element x y z (fractional)
Tb 0.000 0.206 0.794
Tb 0.000 0.794 0.206
Gd 0.000 0.619 0.619
Ga 0.500 0.205 0.451
Ga 0.500 0.451 0.205
Ga 0.500 0.962 0.962
Ni 0.000 0.206 0.206
Ni 0.500 0.539 0.874
Ni 0.500 0.874 0.539

***

Record 7
Computed, not measured: BaZr2 after structural relaxation at the PBE level of DFT.

Output
relative energy among the computed polymorphs	9.66	eV/f.u.
space-group type	Fd-3m
mass density	2.27	Mg/m³
VASP energy	-0.20319	Ry per atom

abc: 8.718 8.718 8.718
angles: 60.00 60.00 60.00
Element x y z (fractional)
Ba 0.125 0.125 0.125
Ba 0.875 0.875 0.875
Zr 0.000 0.000 0.000
Zr 0.000 0.000 0.500
Zr 0.000 0.500 0.000
Zr 0.500 0.000 0.000

***

Record 8
Computed, not measured: Dy2ErZn3Cu2Ni after structural relaxation at the PBE level of DFT.

Output
calculated formation energy	-35.71	kJ/mol of atoms
space-group type	Amm2
mass density	8.79	Mg/m³
VASP energy	-0.27679	Ry per atom

abc: 3.871 7.019 7.019
angles: 120.04 90.00 90.00
Element x y z (fractional)
Dy 0.000 0.203 0.797
Dy 0.000 0.797 0.203
Er 0.000 0.606 0.606
Zn 0.500 0.203 0.442
Zn 0.500 0.442 0.203
Zn 0.500 0.964 0.964
Cu 0.500 0.537 0.867
Cu 0.500 0.867 0.537
Ni 0.000 0.204 0.204

***

Record 9
Computed, not measured: AcNpIn after structural relaxation at the PBE level of DFT.

Output
relative energy among the computed polymorphs	0.00	eV/f.u.
space-group type	F-43m
mass density	8.53	Mg/m³
VASP energy	-0.44551	Ry per atom

abc: 5.422 5.422 5.422
angles: 60.00 60.00 60.00
Element x y z (fractional)
Ac 0.000 0.000 0.000
Np 0.500 0.500 0.500
In 0.250 0.250 0.250